1.
This record from Alexandria via LeMat-Bulk describes an optimized crystal structure of Sc2WCl. The functional is PBE.

abc: 3.128 3.470 7.791
angles: 89.91 90.00 90.00
Sites, in units of the cell vectors:
Cl 0.500 0.750 0.750
Sc 0.000 0.751 0.036
Sc 0.000 0.749 0.464
W 0.500 0.250 0.250

VASP energy in eV/cell: -29.299
Formation energy without anion corrections in eV/atom: -0.4590
Energy above the lowest structure with this stoichiometry in kJ per mole of atoms: 0.0
Crystal system: monoclinic

***

2.
This record from Alexandria via LeMat-Bulk describes an optimized crystal structure of Sc4WCl. The functional is PBE.

abc: 5.729 5.729 5.729
angles: 60.00 60.00 60.00
Sites, in units of the cell vectors:
Sc 0.379 0.864 0.379
Sc 0.864 0.379 0.379
Sc 0.379 0.379 0.864
Sc 0.379 0.379 0.379
W 0.750 0.750 0.750
Cl 0.000 0.000 0.000

VASP energy in eV/cell: -35.724
Formation energy without anion corrections in eV/atom: 0.7336
Crystal system: cubic

***

3.
This record from Alexandria via LeMat-Bulk describes an optimized crystal structure of ScWCl. The functional is PBE.

abc: 4.586 4.586 2.908
angles: 90.00 90.00 120.00
Sites, in units of the cell vectors:
Cl 0.000 0.000 0.834
Sc 0.667 0.333 0.333
W 0.333 0.667 0.833

VASP energy in eV/cell: -19.899
Formation energy without anion corrections in eV/atom: 0.4109
Energy above the lowest structure with this stoichiometry in kJ per mole of atoms: 48.6
Crystal system: hexagonal

***

4.
This record from Alexandria via LeMat-Bulk describes an optimized crystal structure of Sc2WCl. The functional is PBE.

abc: 2.960 2.960 10.539
angles: 90.00 90.00 89.99
Each line ends with the local moment (μB).
Sites, in units of the cell vectors:
Cl 0.500 0.500 0.834  0.00
Sc 0.000 0.000 0.982  0.30
Sc 0.500 0.500 0.245  -0.01
W 0.000 0.000 0.440  -0.01

VASP energy in eV/cell: -27.365
Formation energy without anion corrections in eV/atom: 0.0245
Energy above the lowest structure with this stoichiometry in kJ per mole of atoms: 46.7
Crystal system: tetragonal